(1)
VASP calculation (GGA-PBE) on a geometry-optimized Ba3GaSn structure.

Computed properties:
The calculation puts the distance to the lowest polymorph of the same formula at 344 meV/atom. For the calculated formation energy, the calculation gives -0.336 eV/f.u. Its crystal system is cubic. Its mass density is 4.08 Mg/m³. The density of states at the Fermi level comes out at 2.3068 states/eV/atom.

Lattice parameters (Å, degrees): 6.2499 6.2499 6.2499 90.00 90.00 90.00
Closest atoms and distances in Å follow each position.
Fractional coordinates of all 5 atoms:
Ga  0.0000  0.0000  0.0000  6 Ba 3.12
Sn  0.5000  0.5000  0.5000  12 Ba 4.42
Ba  0.0000  0.0000  0.5000  2 Ga 3.12
Ba  0.0000  0.5000  0.0000  2 Ga 3.12
Ba  0.5000  0.0000  0.0000  2 Ga 3.12


(2)
VASP calculation (GGA-PBE) on a geometry-optimized Ba2GaSn5 structure.

Computed properties:
For the calculated formation energy, the calculation gives -2.817 eV/f.u. Its crystal system is triclinic. Its mass density is 5.66 Mg/m³. The density of states at the Fermi level comes out at 0.4398 states/eV/atom.

Lattice parameters (Å, degrees): 6.4946 8.2351 7.3524 55.82 63.71 89.87
Closest atoms and distances in Å follow each position.
Fractional coordinates of all 8 atoms:
Ba  0.7332  0.2319  0.5336  2 Ga 3.40, 10 Sn 3.72-3.75
Sn  0.1841  0.1290  0.1098  1 Ga 2.93, 3 Sn 3.03-3.13
Sn  0.4135  0.4136  0.1731  1 Ga 2.85, 4 Sn 3.12-3.13
Ga  0.1368  0.1374  0.7267  5 Sn 2.85-2.94
Sn  0.7063  0.1279  0.1109  1 Ga 2.93, 3 Sn 3.03-3.13
Sn  0.7058  0.7602  0.1113  1 Ga 2.94, 3 Sn 3.03-3.12
Sn  0.1810  0.7599  0.1131  1 Ga 2.93, 3 Sn 3.03-3.12
Ba  0.1623  0.6630  0.6754  8 Sn 3.69-3.77, 2 Ga 4.13


(3)
VASP calculation (GGA-PBE) on a geometry-optimized Ba3GaSn2 structure.

Computed properties:
For the calculated formation energy, the calculation gives -3.434 eV/f.u. Its crystal system is orthorhombic. Its mass density is 5.03 Mg/m³. The density of states at the Fermi level comes out at 0.7724 states/eV/atom.

Lattice parameters (Å, degrees): 4.7944 14.2595 13.8957 90.00 90.00 90.00
Closest atoms and distances in Å follow each position.
Fractional coordinates of all 24 atoms:
Ga  0.2500  0.3514  0.6440  3 Sn 2.86-2.87
Ba  0.2500  0.1191  0.5687  1 Ga 3.47, 4 Sn 3.59-3.73
Sn  0.7500  0.3170  0.5363  2 Ga 2.87
Ba  0.2500  0.3809  0.0687  1 Ga 3.47, 4 Sn 3.59-3.73
Ba  0.2500  0.4470  0.3813  5 Sn 3.55-3.72, 3 Ga 3.76-3.90
Sn  0.2500  0.4816  0.8006  1 Ga 2.86
Ba  0.7500  0.2037  0.3026  2 Ga 3.35, 4 Sn 3.57-3.71
Ba  0.7500  0.2963  0.8026  2 Ga 3.35, 4 Sn 3.57-3.71
Sn  0.2500  0.0184  0.3006  1 Ga 2.86
Ga  0.7500  0.6486  0.3560  3 Sn 2.86-2.87
Ga  0.2500  0.1486  0.1440  3 Sn 2.86-2.87
Sn  0.7500  0.5184  0.1994  1 Ga 2.86
Ba  0.2500  0.7963  0.6974  2 Ga 3.35, 4 Sn 3.57-3.71
Sn  0.7500  0.1830  0.0363  2 Ga 2.87
Sn  0.2500  0.8170  0.9637  2 Ga 2.87
Ba  0.7500  0.6191  0.9313  1 Ga 3.47, 4 Sn 3.59-3.73
Ba  0.7500  0.8809  0.4313  1 Ga 3.47, 4 Sn 3.59-3.73
Sn  0.2500  0.6830  0.4637  2 Ga 2.87
Ba  0.7500  0.9470  0.1187  5 Sn 3.55-3.72, 3 Ga 3.76-3.90
Sn  0.7500  0.9816  0.6994  1 Ga 2.86
Ba  0.2500  0.0530  0.8813  5 Sn 3.55-3.72, 3 Ga 3.76-3.90
Ba  0.7500  0.5530  0.6187  5 Sn 3.55-3.72, 3 Ga 3.76-3.90
Ga  0.7500  0.8514  0.8560  3 Sn 2.86-2.87
Ba  0.2500  0.7037  0.1974  2 Ga 3.35, 4 Sn 3.57-3.71


(4)
VASP calculation (GGA-PBE) on a geometry-optimized Ba4Ga22Sn structure.

Computed properties:
For the calculated formation energy, the calculation gives -5.796 eV/f.u. Its crystal system is cubic. Its mass density is 5.42 Mg/m³. The density of states at the Fermi level comes out at 0.6324 states/eV/atom.

Lattice parameters (Å, degrees): 9.5680 9.5680 9.5680 109.47 109.47 109.47
Closest atoms and distances in Å follow each position.
Fractional coordinates of all 27 atoms:
Ga  0.2500  0.7500  0.5000  4 Ga 2.58
Ga  0.5584  0.8353  0.5584  4 Ga 2.57-2.58
Ba  0.0000  0.6213  0.0000  4 Ga 3.26-3.61, 1 Sn 3.62
Ba  0.3787  0.3787  0.3787  4 Ga 3.26-3.61, 1 Sn 3.62
Ga  0.5000  0.7500  0.2500  4 Ga 2.58
Ga  0.2500  0.5000  0.7500  4 Ga 2.58
Ga  0.0000  0.2769  0.4416  4 Ga 2.57-2.58
Ga  0.2769  0.4416  0.0000  4 Ga 2.57-2.58
Ga  0.7500  0.5000  0.2500  4 Ga 2.58
Ga  0.5584  0.5584  0.8353  4 Ga 2.57-2.58
Ga  0.0000  0.0000  0.2803  3 Ga 2.58, 1 Sn 2.68
Ga  0.7231  0.7231  0.1647  4 Ga 2.57-2.58
Ga  0.7500  0.2500  0.5000  4 Ga 2.58
Sn  0.0000  0.0000  0.0000  4 Ga 2.68
Ga  0.2803  0.0000  0.0000  3 Ga 2.58, 1 Sn 2.68
Ga  0.0000  0.4416  0.2769  4 Ga 2.57-2.58
Ga  0.8353  0.5584  0.5584  4 Ga 2.57-2.58
Ga  0.7197  0.7197  0.7197  3 Ga 2.58, 1 Sn 2.68
Ga  0.2769  0.0000  0.4416  4 Ga 2.57-2.58
Ga  0.1647  0.7231  0.7231  4 Ga 2.57-2.58
Ga  0.0000  0.2803  0.0000  3 Ga 2.58, 1 Sn 2.68
Ba  0.0000  0.0000  0.6213  4 Ga 3.26-3.61, 1 Sn 3.62
Ga  0.5000  0.2500  0.7500  4 Ga 2.58
Ga  0.4416  0.2769  0.0000  4 Ga 2.57-2.58
Ga  0.4416  0.0000  0.2769  4 Ga 2.57-2.58
Ba  0.6213  0.0000  0.0000  4 Ga 3.26-3.61, 1 Sn 3.62
Ga  0.7231  0.1647  0.7231  4 Ga 2.57-2.58


(5)
VASP calculation (GGA-PBE) on a geometry-optimized BaGa3Sn3 structure.

Computed properties:
The calculation puts the distance to the lowest polymorph of the same formula at 0 meV/atom. For the calculated formation energy, the calculation gives -1.338 eV/f.u. Its crystal system is hexagonal. Its mass density is 5.76 Mg/m³. The density of states at the Fermi level comes out at 0.3905 states/eV/atom.

Lattice parameters (Å, degrees): 4.3221 10.4073 10.4037 120.00 90.00 90.00
Closest atoms and distances in Å follow each position.
Fractional coordinates of all 14 atoms:
Ga  0.7500  0.9560  0.4045  2 Ga 2.76, 3 Sn 2.87-2.92
Ga  0.2500  0.4044  0.4484  2 Ga 2.76, 3 Sn 2.87-2.92
Ga  0.7500  0.5956  0.5516  2 Ga 2.76, 3 Sn 2.87-2.92
Ba  0.7500  0.3332  0.6666  9 Ga 3.47-3.49, 6 Sn 3.86
Ga  0.2500  0.0440  0.5955  2 Ga 2.76, 3 Sn 2.87-2.92
Sn  0.7500  0.9117  0.6786  4 Ga 2.87-3.11
Sn  0.7500  0.7670  0.0883  4 Ga 2.87-3.11
Sn  0.2500  0.2330  0.9117  4 Ga 2.87-3.11
Sn  0.2500  0.0883  0.3214  4 Ga 2.87-3.11
Sn  0.7500  0.3217  0.2330  4 Ga 2.87-3.11
Ga  0.2500  0.5512  0.9559  2 Ga 2.76, 3 Sn 2.87-2.92
Sn  0.2500  0.6783  0.7670  4 Ga 2.87-3.11
Ba  0.2500  0.6668  0.3334  9 Ga 3.47-3.49, 6 Sn 3.86
Ga  0.7500  0.4488  0.0441  2 Ga 2.76, 3 Sn 2.87-2.92


(6)
VASP calculation (GGA-PBE) on a geometry-optimized Ba3Ga4Sn2 structure.

Computed properties:
For the calculated formation energy, the calculation gives -4.665 eV/f.u. Its crystal system is trigonal. Its mass density is 5.40 Mg/m³. The density of states at the Fermi level comes out at 0.4041 states/eV/atom.

Lattice parameters (Å, degrees): 4.5806 4.5806 31.4413 90.00 90.00 120.00
Closest atoms and distances in Å follow each position.
Fractional coordinates of all 18 atoms:
Sn  0.0000  0.0000  0.5102  3 Ga 2.73
Sn  0.0000  0.0000  0.8383  3 Ga 2.73
Ga  0.6667  0.3333  0.4892  3 Sn 2.73
Ga  0.0000  0.0000  0.9935  3 Ga 2.65
Ga  0.6667  0.3333  0.6701  3 Ga 2.65
Ga  0.6667  0.3333  0.3420  3 Ga 2.65
Ga  0.0000  0.0000  0.3375  3 Ga 2.65
Ga  0.6667  0.3333  0.9969  3 Ga 2.65
Ga  0.0000  0.0000  0.6652  3 Ga 2.65
Ba  0.3333  0.6667  0.4186  9 Ga 3.45-3.67
Sn  0.0000  0.0000  0.1865  3 Sn 2.91
Ba  0.3333  0.6667  0.2602  3 Sn 3.52, 6 Ga 3.59-3.69
Ba  0.3333  0.6667  0.9165  6 Ga 3.59-3.66, 3 Sn 3.61
Ba  0.3333  0.6667  0.7467  9 Ga 3.45-3.68
Sn  0.6667  0.3333  0.1481  3 Sn 2.91
Ba  0.3333  0.6667  0.0747  3 Sn 3.51, 6 Ga 3.60-3.68
Ba  0.3333  0.6667  0.5885  6 Ga 3.58-3.68, 3 Sn 3.61
Ga  0.6667  0.3333  0.8172  3 Sn 2.73


(7)
VASP calculation (GGA-PBE) on a geometry-optimized Ba3Ga2Sn3 structure.

Computed properties:
The calculation puts the distance to the lowest polymorph of the same formula at 85 meV/atom. For the calculated formation energy, the calculation gives -3.737 eV/f.u. Its crystal system is orthorhombic. Its mass density is 5.79 Mg/m³. The density of states at the Fermi level comes out at 0.4274 states/eV/atom.

Lattice parameters (Å, degrees): 5.4007 6.6301 15.9133 90.00 90.00 114.03
Closest atoms and distances in Å follow each position.
Fractional coordinates of all 16 atoms:
Ba  0.3427  0.6854  0.5322  3 Ga 3.45-3.78, 6 Sn 3.64-3.84, 2 Ba 3.66
Ba  0.4481  0.8962  0.2500  2 Ga 3.60, 7 Sn 3.63-3.68
Sn  0.0364  0.0728  0.9063  1 Ga 2.78, 1 Sn 3.11
Ba  0.3427  0.6854  0.9678  3 Ga 3.45-3.78, 6 Sn 3.64-3.84, 2 Ba 3.66
Ga  0.8279  0.6558  0.6668  1 Ga 2.65, 1 Sn 2.78
Sn  0.7482  0.4963  0.2500  4 Ga 3.15
Ba  0.6573  0.3146  0.4678  3 Ga 3.45-3.78, 6 Sn 3.64-3.84, 2 Ba 3.66
Sn  0.9636  0.9272  0.4063  1 Ga 2.78, 1 Sn 3.11
Ga  0.1721  0.3442  0.3332  1 Ga 2.65, 1 Sn 2.78
Sn  0.2518  0.5037  0.7500  4 Ga 3.15
Sn  0.0364  0.0728  0.5937  1 Ga 2.78, 1 Sn 3.11
Ba  0.6573  0.3146  0.0322  3 Ga 3.45-3.78, 6 Sn 3.64-3.84, 2 Ba 3.66
Ga  0.1721  0.3442  0.1668  1 Ga 2.65, 1 Sn 2.78
Ga  0.8279  0.6558  0.8332  1 Ga 2.65, 1 Sn 2.78
Sn  0.9636  0.9272  0.0937  1 Ga 2.78, 1 Sn 3.11
Ba  0.5519  0.1038  0.7500  2 Ga 3.60, 7 Sn 3.63-3.68


(8)
VASP calculation (GGA-PBE) on a geometry-optimized Ba2Ga3Sn5 structure.

Computed properties:
The calculation puts the distance to the lowest polymorph of the same formula at 0 meV/atom. For the calculated formation energy, the calculation gives -3.670 eV/f.u. Its crystal system is orthorhombic. Its mass density is 6.11 Mg/m³. The density of states at the Fermi level comes out at 0.3492 states/eV/atom.

Lattice parameters (Å, degrees): 7.3591 9.9066 9.9066 64.45 68.20 68.20
Closest atoms and distances in Å follow each position.
Fractional coordinates of all 20 atoms:
Ga  0.1211  0.2617  0.4961  5 Sn 2.76-2.87
Ba  0.1239  0.6324  0.1198  7 Ga 3.67-4.07, 10 Sn 3.73-3.90
Sn  0.7500  0.5000  0.5000  4 Ga 2.87
Ba  0.3761  0.8802  0.3676  7 Ga 3.67-4.07, 10 Sn 3.73-3.90
Sn  0.2500  0.5000  0.5000  4 Ga 2.87
Sn  0.8835  0.9953  0.2377  3 Ga 2.76-2.85, 2 Sn 3.09
Ga  0.2500  0.0000  0.0000  4 Sn 2.85
Ba  0.8761  0.3676  0.8802  7 Ga 3.67-4.07, 10 Sn 3.73-3.90
Ga  0.7500  0.0000  0.0000  4 Sn 2.85
Sn  0.0080  0.7420  0.7420  2 Ga 2.87, 2 Sn 3.09
Ga  0.3789  0.5039  0.7383  5 Sn 2.76-2.87
Sn  0.1165  0.0047  0.7623  3 Ga 2.76-2.85, 2 Sn 3.09
Sn  0.3835  0.2377  0.9953  3 Ga 2.76-2.85, 2 Sn 3.09
Ba  0.6239  0.1198  0.6324  7 Ga 3.67-4.07, 10 Sn 3.73-3.90
Sn  0.4920  0.2580  0.2580  2 Ga 2.87, 2 Sn 3.09
Ga  0.6211  0.4961  0.2617  5 Sn 2.76-2.87
Sn  0.6165  0.7623  0.0047  3 Ga 2.76-2.85, 2 Sn 3.09
Sn  0.5080  0.7420  0.7420  2 Ga 2.87, 2 Sn 3.09
Ga  0.8789  0.7383  0.5039  5 Sn 2.76-2.87
Sn  0.9920  0.2580  0.2580  2 Ga 2.87, 2 Sn 3.09


(9)
VASP calculation (GGA-PBE) on a geometry-optimized Ba5Ga5Sn structure.

Computed properties:
For the calculated formation energy, the calculation gives -5.427 eV/f.u. Its crystal system is hexagonal. Its mass density is 5.46 Mg/m³. The density of states at the Fermi level comes out at 0.3127 states/eV/atom.

Lattice parameters (Å, degrees): 6.0717 6.0717 10.9959 90.00 90.00 120.00
Closest atoms and distances in Å follow each position.
Fractional coordinates of all 11 atoms:
Ga  0.5142  0.4858  0.5000  4 Ga 2.71-2.78
Ga  0.5142  0.0285  0.5000  4 Ga 2.71-2.78
Ga  0.3333  0.6667  0.6751  3 Ga 2.71
Sn  0.0000  0.0000  0.0000  5 Ba 3.51-3.64
Ga  0.3333  0.6667  0.3249  3 Ga 2.71
Ba  0.0000  0.0000  0.3310  9 Ga 3.51-3.56, 1 Sn 3.64, 4 Ba 3.72-3.78
Ba  0.0000  0.0000  0.6690  9 Ga 3.51-3.56, 1 Sn 3.64, 4 Ba 3.72-3.78
Ba  0.3333  0.6667  0.0000  3 Sn 3.51, 2 Ga 3.57
Ba  0.6667  0.3333  0.7974  6 Ga 3.64-3.75, 3 Ba 3.78
Ga  0.9715  0.4858  0.5000  4 Ga 2.71-2.78
Ba  0.6667  0.3333  0.2026  6 Ga 3.64-3.75, 3 Ba 3.78


(10)
VASP calculation (GGA-PBE) on a geometry-optimized Ba3Ga2Sn4 structure.

Computed properties:
The calculation puts the distance to the lowest polymorph of the same formula at 0 meV/atom. For the calculated formation energy, the calculation gives -5.042 eV/f.u. Its crystal system is monoclinic. Its mass density is 5.59 Mg/m³. The density of states at the Fermi level comes out at 0.5369 states/eV/atom.

Lattice parameters (Å, degrees): 4.6930 7.1094 9.7024 93.69 90.00 109.27
Closest atoms and distances in Å follow each position.
Fractional coordinates of all 9 atoms:
Ba  0.0000  0.0000  0.0000  4 Ga 3.43, 2 Sn 3.64
Ba  0.6614  0.3228  0.6621  1 Ga 3.36, 5 Sn 3.55-3.59
Sn  0.9223  0.8445  0.6014  2 Ga 2.79, 1 Sn 2.96
Ga  0.5745  0.1489  0.2429  3 Sn 2.77-2.79
Sn  0.0777  0.1555  0.3986  2 Ga 2.79, 1 Sn 2.96
Sn  0.7411  0.4823  0.0891  1 Ga 2.77, 2 Sn 2.93
Sn  0.2589  0.5177  0.9109  1 Ga 2.77, 2 Sn 2.93
Ba  0.3386  0.6772  0.3379  1 Ga 3.36, 5 Sn 3.55-3.59
Ga  0.4255  0.8511  0.7571  3 Sn 2.77-2.79


Please write out number 5 again, unchanged.
VASP calculation (GGA-PBE) on a geometry-optimized BaGa3Sn3 structure.

Computed properties:
The calculation puts the distance to the lowest polymorph of the same formula at 0 meV/atom. For the calculated formation energy, the calculation gives -1.338 eV/f.u. Its crystal system is hexagonal. Its mass density is 5.76 Mg/m³. The density of states at the Fermi level comes out at 0.3905 states/eV/atom.

Lattice parameters (Å, degrees): 4.3221 10.4073 10.4037 120.00 90.00 90.00
Closest atoms and distances in Å follow each position.
Fractional coordinates of all 14 atoms:
Ga  0.7500  0.9560  0.4045  2 Ga 2.76, 3 Sn 2.87-2.92
Ga  0.2500  0.4044  0.4484  2 Ga 2.76, 3 Sn 2.87-2.92
Ga  0.7500  0.5956  0.5516  2 Ga 2.76, 3 Sn 2.87-2.92
Ba  0.7500  0.3332  0.6666  9 Ga 3.47-3.49, 6 Sn 3.86
Ga  0.2500  0.0440  0.5955  2 Ga 2.76, 3 Sn 2.87-2.92
Sn  0.7500  0.9117  0.6786  4 Ga 2.87-3.11
Sn  0.7500  0.7670  0.0883  4 Ga 2.87-3.11
Sn  0.2500  0.2330  0.9117  4 Ga 2.87-3.11
Sn  0.2500  0.0883  0.3214  4 Ga 2.87-3.11
Sn  0.7500  0.3217  0.2330  4 Ga 2.87-3.11
Ga  0.2500  0.5512  0.9559  2 Ga 2.76, 3 Sn 2.87-2.92
Sn  0.2500  0.6783  0.7670  4 Ga 2.87-3.11
Ba  0.2500  0.6668  0.3334  9 Ga 3.47-3.49, 6 Sn 3.86
Ga  0.7500  0.4488  0.0441  2 Ga 2.76, 3 Sn 2.87-2.92


Question: calculated formation energy of number 5 (BaGa3Sn3)?
Answer: -1.338 eV/f.u.


Question: What is the formula in the eighth record?
Answer: Ba2Ga3Sn5